No. 1
Here is crystalline LiCaMo3 at its relaxed geometry from Alexandria. Energies are from GGA-PBE.

Unit cell a=4.464 b=4.464 c=4.464 alpha=90.00 beta=90.00 gamma=90.00
Fractional positions:
1 Mo 0.000 0.500 0.000
2 Mo 0.000 0.000 0.500
3 Mo 0.500 0.000 0.000
4 Ca 0.500 0.500 0.500
5 Li 0.000 0.000 0.000

Values from the calculation:
Space-group type: Pm-3m, No. 221

---

No. 2
Here is crystalline LiCaMo2 at its relaxed geometry from Alexandria. Energies are from GGA-PBE.

Unit cell a=5.249 b=2.829 c=4.977 alpha=83.95 beta=90.00 gamma=90.00
Fractional positions:
1 Ca 0.500 0.250 0.250
2 Li 0.500 0.750 0.750
3 Mo 0.000 0.884 0.998
4 Mo 0.000 0.616 0.502

Values from the calculation:
Space-group type: P2/m, No. 10

---

No. 3
Here is crystalline LiCaMo4 at its relaxed geometry from Alexandria. Energies are from GGA-PBE.

Unit cell a=5.411 b=5.411 c=5.411 alpha=60.00 beta=60.00 gamma=60.00
Fractional positions:
1 Li 0.000 0.000 0.000
2 Ca 0.750 0.750 0.750
3 Mo 0.877 0.374 0.374
4 Mo 0.374 0.374 0.877
5 Mo 0.374 0.877 0.374
6 Mo 0.374 0.374 0.374

Values from the calculation:
Space-group type: F-43m, No. 216

---

| no. | ρ (Mg/m³) | energy of formation (eV/atom) |
| --- | --- | --- |
| 1 | 6.25 | 1.465 |
| 2 | 5.40 | 0.618 |
| 3 | 6.38 | 0.577 |